1.
Here is CaTlSb2 after structural relaxation from the Alexandria database. Energies are from PBE.

Cell: 4.159 4.159 6.687 Å, 90.00 90.00 90.00°
Atoms (fractional coordinates):
Sb (0.000, 0.000, 0.999)
Sb (0.500, 0.500, 0.250)
Tl (0.000, 0.000, 0.484)
Ca (0.500, 0.500, 0.767)

* N(E_F): 2.3 states/eV/f.u.
* magnetization: 0.00 μB per cell


2.
Here is Ca3TlSb after structural relaxation from the Alexandria database. Energies are from PBE.

Cell: 5.907 5.907 5.907 Å, 90.00 90.00 90.00°
Atoms (fractional coordinates):
Sb (0.000, 0.000, 0.000)
Tl (0.500, 0.500, 0.500)
Ca (0.000, 0.500, 0.000)
Ca (0.000, 0.000, 0.500)
Ca (0.500, 0.000, 0.000)

* N(E_F): 4.9 states/eV/f.u.
* magnetization: 0.00 μB per cell


Number 1: uncorrected formation energy -25.12 kJ per mole of atoms, excess energy over the best structure of this formula in the dataset 0.1638 eV/atom. Number 2: uncorrected formation energy -33.29 kJ per mole of atoms, excess energy over the best structure of this formula in the dataset 0.0000 eV/atom.